No. 1
ErCdGe2Pt5, relaxed, DFT GGA-PBE; space group = P4/mmm; formation energy = -0.607 eV/atom
1.0
4.194 0.000 0.000
0.000 4.194 0.000
0.000 0.000 8.980
Er Cd Ge Pt
1 1 2 5
Direct
0.000 0.000 0.000
0.000 0.000 0.500
0.500 0.500 0.134
0.500 0.500 0.866
0.000 0.500 0.275
0.000 0.500 0.725
0.500 0.000 0.275
0.500 0.000 0.725
0.500 0.500 0.500

---

No. 2
Fe3BiI, relaxed, DFT GGA-PBE; space group = Pm-3m; uncorrected formation energy = 647 kJ/mol of formula units
1.0
4.775 0.000 0.000
0.000 4.775 0.000
0.000 0.000 4.775
Fe Bi I
3 1 1
Direct
0.000 0.000 0.500
0.000 0.500 0.000
0.500 0.000 0.000
0.500 0.500 0.500
0.000 0.000 0.000

---

No. 3
HfZnAgSe2, relaxed, DFT GGA-PBE; space group = P4/mmm; uncorrected formation energy = 17 kJ/mol of formula units
1.0
5.080 0.000 0.000
0.000 5.080 0.000
0.000 0.000 5.730
Hf Zn Ag Se
1 1 1 2
Direct
0.000 0.000 0.000
0.500 0.500 0.500
0.000 0.000 0.500
0.000 0.500 0.000
0.500 0.000 0.000

---

No. 4
LaCd2Cl, relaxed, DFT GGA-PBE; space group = P4/mmm; uncorrected formation energy = -215 kJ/mol of formula units
1.0
4.540 0.000 0.000
0.000 4.540 0.000
0.000 0.000 5.765
La Cd Cl
1 2 1
Direct
0.000 0.000 0.000
0.500 0.500 0.252
0.500 0.500 0.748
0.000 0.000 0.500

---

No. 5
FeAs2Br, relaxed, DFT GGA-PBE; space group = F-43m; uncorrected formation energy = 246 kJ/mol of formula units
1.0
0.000 3.337 3.337
3.337 0.000 3.337
3.337 3.337 0.000
Fe As Br
1 2 1
Direct
0.000 0.000 0.000
0.250 0.250 0.250
0.500 0.500 0.500
0.750 0.750 0.750

---

No. 6
ThPa2CuN5, relaxed, DFT GGA-PBE; space group = Cmc2_1; uncorrected formation energy = -1014 kJ/mol of formula units
1.0
1.760 -6.625 0.000
1.760 6.625 0.000
0.000 0.000 11.002
Th Pa Cu N
2 4 2 10
Direct
0.145 0.855 0.500
0.855 0.145 0.000
0.100 0.900 0.808
0.169 0.831 0.195
0.831 0.169 0.695
0.900 0.100 0.308
0.460 0.540 0.544
0.540 0.460 0.044
0.001 0.999 0.636
0.282 0.718 0.839
0.311 0.689 0.569
0.335 0.665 0.177
0.496 0.504 0.371
0.504 0.496 0.871
0.665 0.335 0.677
0.689 0.311 0.069
0.718 0.282 0.339
0.999 0.001 0.136